Record 1
DFT (PBE-GGA) results for a geometry-optimized CsTbCrCl6 structure.

abc: 6.7146 6.7146 7.8321
angles: 91.80 91.80 116.72
With the nearest neighbours (Å) after each atom.
Fractional coordinates of all 9 atoms:
Cs1 0.0000 0.0000 0.0000  6 Cl 3.52-3.55
Tb1 0.6585 0.3415 0.5000  6 Cl 2.60-2.72
Cr1 0.3176 0.6824 0.5000  4 Cl 2.39-2.41
Cl1 0.3485 0.0036 0.6679  1 Cr 2.41
Cl2 0.3477 0.4100 0.3132  1 Cr 2.39
Cl3 0.5900 0.6523 0.6868  1 Cr 2.39
Cl4 0.6081 0.0266 0.2765  1 Tb 2.60
Cl5 0.9734 0.3919 0.7235  1 Tb 2.60
Cl6 0.9964 0.6515 0.3321  1 Cr 2.41

Results
E_form (uncorrected)	-1801	meV per atom
DFT total energy	-42.40	eV/f.u.
calculated volume	314.9	Å³/cell

---

Record 2
DFT (PBE-GGA) results for a geometry-optimized CsTbCr2Cl8 structure.

abc: 6.7500 6.8811 9.2222
angles: 109.75 94.73 110.49
With the nearest neighbours (Å) after each atom.
Fractional coordinates of all 12 atoms:
Cs1 0.0000 0.0000 0.0000  6 Cl 3.45-3.63
Tb1 0.0000 0.5000 0.5000  6 Cl 2.66-2.69
Cr1 0.4306 0.3178 0.7947  4 Cl 2.37-2.40
Cr2 0.5694 0.6822 0.2053  4 Cl 2.37-2.40
Cl1 0.1717 0.5535 0.2601  1 Tb 2.66, 1 Cr 2.67
Cl2 0.2670 0.3097 0.5545  1 Cr 2.37
Cl3 0.2979 0.9135 0.6908  1 Cr 2.40
Cl4 0.4422 0.6783 0.9537  2 Cr 2.39
Cl5 0.5578 0.3217 0.0463  2 Cr 2.39
Cl6 0.7021 0.0865 0.3092  1 Cr 2.40
Cl7 0.7330 0.6903 0.4455  1 Cr 2.37
Cl8 0.8283 0.4465 0.7399  1 Tb 2.66, 1 Cr 2.67

Results
E_form (uncorrected)	-1535	meV per atom
DFT total energy	-57.92	eV/f.u.
calculated volume	367.7	Å³/cell

---

Record 3
DFT (PBE-GGA) results for a geometry-optimized Cs2CrTeCl6 structure.

abc: 7.6234 7.6234 7.6234
angles: 117.04 117.04 95.21
With the nearest neighbours (Å) after each atom.
Fractional coordinates of all 10 atoms:
Cs1 0.2500 0.7500 0.5000  12 Cl 3.84-3.98
Cs2 0.7500 0.2500 0.5000  12 Cl 3.84-3.98
Cr1 0.0000 0.0000 0.0000  6 Cl 2.37-2.53
Te1 0.5000 0.5000 0.0000  2 Cl 2.61
Cl1 0.2106 0.2106 0.4212  1 Cr 2.37
Cl2 0.2106 0.7894 0.0000  1 Cr 2.37
Cl3 0.2462 0.2462 0.0000  1 Cr 2.53, 1 Te 2.61
Cl4 0.7538 0.7538 0.0000  1 Cr 2.53, 1 Te 2.61
Cl5 0.7894 0.2106 0.0000  1 Cr 2.37
Cl6 0.7894 0.7894 0.5788  1 Cr 2.37

Results
E_form (uncorrected)	-1184	meV per atom
DFT total energy	-37.39	eV/f.u.
calculated volume	325.8	Å³/cell